(1)
A plane-wave DFT calculation with PBE-GGA was carried out for an optimized crystal structure of YAs2Ir.

Summary:
Formation energy = -0.20 eV per atom
SG = No. 216
Energy relative to the lowest polymorph listed for this composition = 2.37 eV per formula unit

a = 4.785 Å, b = 4.785 Å, c = 4.785 Å
α = 60.00°, β = 60.00°, γ = 60.00°
Element x y z (fractional)
Y 0.250 0.250 0.250
As 0.000 0.000 0.000
As 0.750 0.750 0.750
Ir 0.500 0.500 0.500

---

(2)
A plane-wave DFT calculation with PBE-GGA was carried out for an optimized crystal structure of MgGaBN2.

Summary:
SG = No. 123
E_tot = -4.3785 eV per atom

a = 3.413 Å, b = 4.992 Å, c = 3.413 Å
α = 90.00°, β = 90.00°, γ = 90.00°
Element x y z (fractional)
Mg 0.500 0.500 0.500
B 0.000 0.000 0.000
Ga 0.000 0.500 0.000
N 0.000 0.000 0.500
N 0.500 0.000 0.000

---

Number 1: D(E_F) 2.67 states/eV/cell, theoretical density 9.24 g/cm3. Number 2: D(E_F) 2.26 states/eV/cell, theoretical density 3.79 g/cm3.